No. 1
This record from Alexandria describes ThCF after structural relaxation. The functional is PBE.

It has space group P-6m2 (No. 187), with a = 3.9866 Å, b = 3.9866 Å, c = 3.4689 Å, α = 90.00°, β = 90.00° and γ = 120.00°. The distinct sites, in fractional coordinates, are Th at (0.0000, 0.0000, 0.0000), C at (0.3333, 0.6667, 0.5000) and F at (0.6667, 0.3333, 0.0000).

The calculated volume is 47.74 Å³ per cell. The value obtained for the raw total energy is -0.5278 Ry per atom. The raw formation energy is -1010 meV per atom. As for the density of states at the Fermi level: 0.902 states/eV per atom.

=====

No. 2
This record from Alexandria describes ThCF after structural relaxation. The functional is PBE.

It has space group Cmcm (No. 63), with a = 3.5493 Å, b = 13.4610 Å, c = 3.5688 Å, α = 90.00°, β = 90.00° and γ = 90.00°. The distinct sites, in fractional coordinates, are Th at (0.0000, 0.1119, 0.2500), C at (0.0000, 0.4717, 0.2500) and F at (0.0000, 0.2465, 0.7500).

The calculated volume is 170.50 Å³ per cell. The value obtained for the raw total energy is -0.5677 Ry per atom. The raw formation energy is -1552 meV per atom. As for the density of states at the Fermi level: 0.195 states/eV per atom.

=====

No. 3
This record from Alexandria describes ThCF after structural relaxation. The functional is PBE.

It has space group I4mm (No. 107), with a = 3.5055 Å, b = 3.5055 Å, c = 7.6606 Å, α = 90.00°, β = 90.00° and γ = 90.00°. The distinct sites, in fractional coordinates, are Th at (0.0000, 0.0000, 0.0000), C at (0.0000, 0.0000, 0.6090) and F at (0.0000, 0.0000, 0.3077).

The calculated volume is 94.14 Å³ per cell. The value obtained for the raw total energy is -0.5197 Ry per atom. The raw formation energy is -899 meV per atom. As for the density of states at the Fermi level: 0.400 states/eV per atom.

=====

No. 4
This record from Alexandria describes ThCF after structural relaxation. The functional is PBE.

It has space group F-43m (No. 216), with a = 5.8206 Å, b = 5.8206 Å, c = 5.8206 Å, α = 90.00°, β = 90.00° and γ = 90.00°. The distinct sites, in fractional coordinates, are Th at (0.0000, 0.0000, 0.0000), C at (0.2500, 0.2500, 0.7500) and F at (0.2500, 0.2500, 0.2500).

The calculated volume is 197.20 Å³ per cell. The value obtained for the raw total energy is -0.5556 Ry per atom. The raw formation energy is -1387 meV per atom. As for the density of states at the Fermi level: 0.932 states/eV per atom.

=====

No. 5
This record from Alexandria describes TiCF after structural relaxation. The functional is PBE.

It has space group Pnma (No. 62), with a = 7.8856 Å, b = 2.6743 Å, c = 5.8119 Å, α = 90.00°, β = 90.00° and γ = 90.00°. The distinct sites, in fractional coordinates, are Ti at (0.2030, 0.2500, 0.1944), C at (0.0473, 0.7500, 0.9695) and F at (0.1206, 0.7500, 0.4415).

The calculated volume is 122.56 Å³ per cell. The value obtained for the raw total energy is -0.5533 Ry per atom. The raw formation energy is -1198 meV per atom. As for the density of states at the Fermi level: 0.493 states/eV per atom.

=====

No. 6
This record from Alexandria describes Ti2CF after structural relaxation. The functional is PBE.

It has space group Fm-3m (No. 225), with a = 5.4693 Å, b = 5.4693 Å, c = 5.4693 Å, α = 90.00°, β = 90.00° and γ = 90.00°. The distinct sites, in fractional coordinates, are Ti at (0.2500, 0.2500, 0.2500), C at (0.0000, 0.0000, 0.0000) and F at (0.0000, 0.0000, 0.5000).

The calculated volume is 163.60 Å³ per cell. The value obtained for the raw total energy is -0.5582 Ry per atom. The raw formation energy is -873 meV per atom. As for the density of states at the Fermi level: 0.484 states/eV per atom.

=====

No. 7
This record from Alexandria describes Ti2CF after structural relaxation. The functional is PBE.

It has space group I-42d (No. 122), with a = 4.7967 Å, b = 4.7967 Å, c = 9.5114 Å, α = 90.00°, β = 90.00° and γ = 90.00°. The distinct sites, in fractional coordinates, are Ti at (0.2187, 0.2500, 0.1250), C at (0.0000, 0.0000, 0.0000) and F at (0.0000, 0.0000, 0.5000).

The calculated volume is 218.84 Å³ per cell. The value obtained for the raw total energy is -0.5637 Ry per atom. The raw formation energy is -948 meV per atom. As for the density of states at the Fermi level: 0.583 states/eV per atom.

=====

No. 8
This record from Alexandria describes TiC2F after structural relaxation. The functional is PBE.

It has space group Fm-3m (No. 225), with a = 5.3661 Å, b = 5.3661 Å, c = 5.3661 Å, α = 90.00°, β = 90.00° and γ = 90.00°. The distinct sites, in fractional coordinates, are Ti at (0.0000, 0.0000, 0.0000), C at (0.2500, 0.2500, 0.2500) and F at (0.0000, 0.0000, 0.5000).

The calculated volume is 154.52 Å³ per cell. The value obtained for the raw total energy is -0.4169 Ry per atom. The raw formation energy is 1381 meV per atom. As for the density of states at the Fermi level: 1.311 states/eV per atom.

=====

No. 9
This record from Alexandria describes TiC2F after structural relaxation. The functional is PBE.

It has space group I4_1/amd (No. 141, origin choice 2), with a = 2.9168 Å, b = 2.9168 Å, c = 17.2124 Å, α = 90.00°, β = 90.00° and γ = 90.00°. The distinct sites, in fractional coordinates, are Ti at (0.0000, 0.2500, 0.3750), C at (0.0000, 0.0000, 0.5000) and F at (0.0000, 0.2500, 0.8750).

The calculated volume is 146.44 Å³ per cell. The value obtained for the raw total energy is -0.5272 Ry per atom. The raw formation energy is -120 meV per atom. As for the density of states at the Fermi level: 0.428 states/eV per atom.

=====

No. 10
This record from Alexandria describes Y2TiCF after structural relaxation. The functional is PBE.

It has space group P4/mmm (No. 123), with a = 4.4129 Å, b = 4.4129 Å, c = 4.8206 Å, α = 90.00°, β = 90.00° and γ = 90.00°. The distinct sites, in fractional coordinates, are Y at (0.0000, 0.5000, 0.0000), Ti at (0.0000, 0.0000, 0.5000), C at (0.5000, 0.5000, 0.5000) and F at (0.5000, 0.5000, 0.0000).

The calculated volume is 93.87 Å³ per cell. The value obtained for the raw total energy is -0.4531 Ry per atom. The raw formation energy is 219 meV per atom. As for the density of states at the Fermi level: 0.950 states/eV per atom.

=====

No. 11
This record from Alexandria describes TlCF2 after structural relaxation. The functional is PBE.

It has space group R-3m (No. 166, hexagonal axes), with a = 3.2586 Å, b = 3.2586 Å, c = 21.4422 Å, α = 90.00°, β = 90.00° and γ = 120.00°. The distinct sites, in fractional coordinates, are Tl at (0.0000, 0.0000, 0.0000), C at (0.0000, 0.0000, 0.5000) and F at (0.0000, 0.0000, 0.1227).

The calculated volume is 197.17 Å³ per cell. The value obtained for the raw total energy is -0.2470 Ry per atom. The raw formation energy is 473 meV per atom. As for the density of states at the Fermi level: 0.328 states/eV per atom.

=====

No. 12
This record from Alexandria describes TlCF2 after structural relaxation. The functional is PBE.

It has space group I-42d (No. 122), with a = 5.0162 Å, b = 5.0162 Å, c = 11.9033 Å, α = 90.00°, β = 90.00° and γ = 90.00°. The distinct sites, in fractional coordinates, are Tl at (0.0000, 0.0000, 0.0000), C at (0.0000, 0.0000, 0.5000) and F at (0.1097, 0.2500, 0.6250).

The calculated volume is 299.51 Å³ per cell. The value obtained for the raw total energy is -0.2582 Ry per atom. The raw formation energy is 320 meV per atom. As for the density of states at the Fermi level: 0.026 states/eV per atom.